1.
This record from Alexandria describes a relaxed Zr5Cd2Hg crystal. The functional is PBE.

a = 4.396 Å, b = 4.396 Å, c = 9.594 Å
α = 103.24°, β = 103.24°, γ = 90.00°
Atoms (fractional coordinates):
Hg (0.000, 0.000, 0.000)
Zr (0.875, 0.375, 0.751)
Zr (0.375, 0.875, 0.751)
Zr (0.125, 0.625, 0.249)
Zr (0.500, 0.500, 0.000)
Zr (0.625, 0.125, 0.249)
Cd (0.249, 0.249, 0.497)
Cd (0.751, 0.751, 0.503)

Properties
symmetry: I4/mmm (139)
final energy: -0.211 Ha/atom
total magnetization: 0.00 μB per formula unit

2.
This record from Alexandria describes a relaxed ZrCdHg crystal. The functional is PBE.

a = 6.839 Å, b = 6.839 Å, c = 3.185 Å
α = 76.53°, β = 76.54°, γ = 26.93°
Atoms (fractional coordinates):
Hg (0.669, 0.669, 0.331)
Zr (0.331, 0.331, 0.669)
Cd (0.000, 0.000, 0.000)

Properties
symmetry: I4mm (107)
final energy: -0.124 Ha/atom
total magnetization: 0.00 μB per formula unit

3.
This record from Alexandria describes a relaxed ZrCd3Hg crystal. The functional is PBE.

a = 5.821 Å, b = 5.821 Å, c = 5.821 Å
α = 90.00°, β = 90.00°, γ = 90.00°
Each line ends with the local moment (μB).
Atoms (fractional coordinates):
Cd (0.500, 0.000, 0.000)  0.13
Cd (0.000, 0.500, 0.000)  0.08
Cd (0.000, 0.000, 0.500)  0.04
Zr (0.000, 0.000, 0.000)  1.42
Hg (0.500, 0.500, 0.500)  0.05

Properties
symmetry: Pm-3m (221)
final energy: -0.057 Ha/atom
total magnetization: 3.27 μB per formula unit